Record 1
Entry from Alexandria via LeMat-Bulk: a relaxed Mg2CrAs crystal (PBE-GGA).

Properties
The value obtained for the total magnetization is 0.8218 μB/atom. The density comes out at 3.2 g/cm3. For the formation energy from the elements, the calculation gives 0.233 eV per atom.

```
Mg2CrAs
1.0
8.543 0.000 0.000
0.000 8.543 0.000
4.271 4.271 2.515
Cr As Mg
2 2 4
direct
0.500 0.500 0.000 Cr
0.250 0.750 0.500 Cr
0.000 0.000 0.000 As
0.750 0.250 0.500 As
0.710 0.125 0.250 Mg
0.040 0.625 0.250 Mg
0.375 0.290 0.750 Mg
0.875 0.960 0.750 Mg
```

=====

Record 2
Entry from Alexandria via LeMat-Bulk: a relaxed MgCrAs2 crystal (PBE-GGA).

Properties
The value obtained for the total magnetization is 0.6870 μB/atom. The density comes out at 5.1 g/cm3. For the formation energy from the elements, the calculation gives -0.090 eV per atom.

```
MgCrAs2
1.0
-0.174 -3.466 -1.292
3.686 -0.054 -0.352
0.453 -1.901 5.039
As Cr Mg
2 1 1
direct
0.000 0.000 0.911 As
0.500 0.500 0.340 As
0.000 0.000 0.418 Cr
0.500 0.500 0.830 Mg
```

=====

Record 3
Entry from Alexandria via LeMat-Bulk: a relaxed MgCr2As crystal (PBE-GGA).

Properties
The value obtained for the total magnetization is 0.0000 μB/atom. The density comes out at 5.6 g/cm3. For the formation energy from the elements, the calculation gives 0.283 eV per atom. Its energy above the most stable polymorph in this dataset is 169 meV per atom.

```
MgCr2As
1.0
-4.042 -2.313 -0.070
-1.770 -4.307 0.099
-0.748 -0.468 4.540
As Cr Mg
1 2 1
direct
0.250 0.250 0.250 As
0.990 0.990 0.078 Cr
0.510 0.510 0.422 Cr
0.750 0.750 0.750 Mg
```

=====

Record 4
Entry from Alexandria via LeMat-Bulk: a relaxed MgCrAs2 crystal (PBE-GGA).

Properties
The value obtained for the total magnetization is 0.5000 μB/atom. The density comes out at 3.8 g/cm3. For the formation energy from the elements, the calculation gives -0.040 eV per atom.

```
MgCrAs2
1.0
5.852 0.000 0.000
0.000 5.852 0.000
2.926 2.926 5.719
Cr As Mg
2 4 2
direct
0.000 0.000 0.000 Cr
0.750 0.250 0.500 Cr
0.668 0.125 0.250 As
0.082 0.625 0.250 As
0.375 0.332 0.750 As
0.875 0.918 0.750 As
0.500 0.500 0.000 Mg
0.250 0.750 0.500 Mg
```

=====

Record 5
Entry from Alexandria via LeMat-Bulk: a relaxed MgCrAs crystal (PBE-GGA).

Properties
The value obtained for the total magnetization is 0.3337 μB/atom. The density comes out at 5.2 g/cm3. For the formation energy from the elements, the calculation gives -0.016 eV per atom.

```
MgCrAs
1.0
-4.309 -0.298 3.001
-0.409 -0.226 5.238
2.266 2.506 -4.030
As Cr Mg
1 1 1
direct
0.968 0.968 0.000 As
0.362 0.362 0.000 Cr
0.670 0.670 0.000 Mg
```

=====

Record 6
Entry from Alexandria via LeMat-Bulk: a relaxed MgCrAs2 crystal (PBE-GGA).

Properties
The value obtained for the total magnetization is 0.9719 μB/atom. The density comes out at 5.1 g/cm3. For the formation energy from the elements, the calculation gives 0.311 eV per atom.

```
MgCrAs2
1.0
4.716 0.000 0.000
2.358 4.084 0.000
2.358 1.361 3.850
As Cr Mg
2 1 1
direct
0.000 0.000 0.000 As
0.250 0.250 0.250 As
0.500 0.500 0.500 Cr
0.750 0.750 0.750 Mg
```

=====

Record 7
Entry from Alexandria via LeMat-Bulk: a relaxed Mg3CrAs crystal (PBE-GGA).

Properties
The value obtained for the total magnetization is 0.9147 μB/atom. The density comes out at 2.5 g/cm3. For the formation energy from the elements, the calculation gives 0.844 eV per atom. Its energy above the most stable polymorph in this dataset is 424 meV per atom.

```
Mg3CrAs
1.0
5.100 0.000 0.000
0.000 5.100 0.000
0.000 0.000 5.100
Cr As Mg
1 1 3
direct
0.000 0.000 0.000 Cr
0.500 0.500 0.500 As
0.000 0.500 0.000 Mg
0.000 0.000 0.500 Mg
0.500 0.000 0.000 Mg
```

=====

Record 8
Entry from Alexandria via LeMat-Bulk: a relaxed MgCr2As2 crystal (PBE-GGA).

Properties
The value obtained for the total magnetization is 0.0000 μB/atom. The density comes out at 5.5 g/cm3. For the formation energy from the elements, the calculation gives 0.072 eV per atom. Its energy above the most stable polymorph in this dataset is 98 meV per atom.

```
MgCr2As2
1.0
-0.312 4.567 -0.375
-4.578 -0.328 -0.190
-2.632 2.432 3.674
Cr As Mg
2 2 1
direct
0.382 0.382 0.235 Cr
0.618 0.618 0.765 Cr
0.750 0.250 0.500 As
0.250 0.750 0.500 As
0.000 0.000 0.000 Mg
```

=====

Record 9
Entry from Alexandria via LeMat-Bulk: a relaxed MgCr2As crystal (PBE-GGA).

Properties
The value obtained for the total magnetization is 0.0000 μB/atom. The density comes out at 5.5 g/cm3. For the formation energy from the elements, the calculation gives 0.220 eV per atom. Its energy above the most stable polymorph in this dataset is 106 meV per atom.

```
MgCr2As
1.0
-5.225 -4.339 -5.100
-4.103 -6.537 -3.546
-6.371 -5.026 -2.508
As Cr Mg
1 2 1
direct
0.738 0.738 0.738 As
0.993 0.993 0.993 Cr
0.264 0.264 0.264 Cr
0.505 0.505 0.505 Mg
```

=====

Record 10
Entry from Alexandria via LeMat-Bulk: a relaxed MgCr3As crystal (PBE-GGA).

Properties
The value obtained for the total magnetization is 2.5296 μB/atom. The density comes out at 3.7 g/cm3. For the formation energy from the elements, the calculation gives 1.619 eV per atom. Its energy above the most stable polymorph in this dataset is 894 meV per atom.

```
MgCr3As
1.0
4.870 0.000 0.000
0.000 4.870 0.000
0.000 0.000 4.870
Cr As Mg
3 1 1
direct
0.000 0.500 0.000 Cr
0.000 0.000 0.500 Cr
0.500 0.000 0.000 Cr
0.500 0.500 0.500 As
0.000 0.000 0.000 Mg
```

=====

Record 11
Entry from Alexandria via LeMat-Bulk: a relaxed Mg2CrAs crystal (PBE-GGA).

Properties
The value obtained for the total magnetization is 0.2155 μB/atom. The density comes out at 4.1 g/cm3. For the formation energy from the elements, the calculation gives 0.003 eV per atom.

```
Mg2CrAs
1.0
3.160 0.487 0.000
-0.486 3.160 0.000
0.000 0.000 6.972
As Cr Mg
1 1 2
direct
0.000 0.000 0.556 As
0.500 0.500 0.698 Cr
0.000 0.000 0.960 Mg
0.500 0.500 0.286 Mg
```

=====

Record 12
Entry from Alexandria via LeMat-Bulk: a relaxed MgCr2As crystal (PBE-GGA).

Properties
The value obtained for the total magnetization is 1.2256 μB/atom. The density comes out at 5.8 g/cm3. For the formation energy from the elements, the calculation gives 0.314 eV per atom. Its energy above the most stable polymorph in this dataset is 200 meV per atom.

```
MgCr2As
1.0
-3.535 -2.128 -1.348
-3.907 1.079 1.553
-2.882 1.987 -2.566
Cr As Mg
2 1 1
direct
0.250 0.250 0.250 Cr
0.750 0.750 0.750 Cr
0.500 0.500 0.500 As
0.000 0.000 0.000 Mg
```